A plane-wave DFT calculation with PBE was carried out for an optimized crystal structure of Tm4TlInC.

```
Tm4TlInC
1.0
3.435 -7.501 0.000
3.435 7.501 0.000
0.000 0.000 6.867
Tm Tl In C
8 2 2 2
direct
0.000 0.500 0.000 Tm
0.000 0.500 0.500 Tm
0.088 0.912 0.750 Tm
0.411 0.589 0.750 Tm
0.500 0.000 0.000 Tm
0.500 0.000 0.500 Tm
0.589 0.411 0.250 Tm
0.912 0.088 0.250 Tm
0.117 0.883 0.250 Tl
0.883 0.117 0.750 Tl
0.383 0.617 0.250 In
0.617 0.383 0.750 In
0.250 0.750 0.750 C
0.750 0.250 0.250 C
```

Computed properties:
- total energy (eV for the cell shown) = -69.585
- SG = No. 63
- formation energy (eV/atom) = -0.37



A plane-wave DFT calculation with PBE was carried out for an optimized crystal structure of Tm4In2C.

```
Tm4In2C
1.0
6.187 0.000 0.000
0.000 3.553 0.000
-2.601 0.000 7.993
Tm In C
4 2 1
direct
0.133 0.000 0.283 Tm
0.360 0.500 0.640 Tm
0.640 0.500 0.360 Tm
0.867 0.000 0.717 Tm
0.256 0.500 0.996 In
0.744 0.500 0.004 In
0.500 0.000 0.500 C
```

Computed properties:
- total energy (eV for the cell shown) = -34.693
- offset from the most stable computed form (meV per atom) = 84
- SG = No. 10
- formation energy (eV/atom) = -0.30



A plane-wave DFT calculation with PBE was carried out for an optimized crystal structure of Tm7In2C2.

```
Tm7In2C2
1.0
-1.716 7.303 5.166
1.716 -7.303 5.166
1.716 7.303 -5.166
Tm In C
7 2 2
direct
0.000 0.000 0.000 Tm
0.294 0.435 0.860 Tm
0.314 0.622 0.692 Tm
0.575 0.435 0.140 Tm
0.662 0.318 0.344 Tm
0.929 0.622 0.308 Tm
0.975 0.318 0.656 Tm
0.260 0.760 0.500 In
0.674 0.674 0.000 In
0.186 0.951 0.234 C
0.717 0.951 0.766 C
```

Computed properties:
- total energy (eV for the cell shown) = -57.045
- SG = No. 44
- formation energy (eV/atom) = -0.17



Question: total energy of number 1 (Tm4TlInC)?
Answer: -69.585 eV for the cell shown



Question: The highest formation energy belongs to which entry?
Answer: Tm7In2C2



Question: Among the records above, which one has the lowest formation energy?
Answer: Tm4TlInC



Question: The highest total energy belongs to which entry?
Answer: Tm4In2C